Entry A
TbPrCuRh after structural relaxation, computed with PBE.

abc: 4.9971 4.9971 4.9971
angles: 60.00 60.00 60.00
Fractional coordinates of all 4 atoms:
Tb (0.5000, 0.5000, 0.5000)
Cu (0.2500, 0.2500, 0.2500)
Rh (0.7500, 0.7500, 0.7500)
Pr (0.0000, 0.0000, 0.0000)

Values from the calculation:
spin magnetization: 0.000 μB/atom


Entry B
TbPrCuRh after structural relaxation, computed with PBE.

abc: 3.8831 4.4363 5.6500
angles: 90.00 110.10 90.00
Fractional coordinates of all 4 atoms:
Tb (0.8658, 0.5000, 0.7315)
Pr (0.1428, 0.0000, 0.2856)
Rh (0.4185, 0.0000, 0.8370)
Cu (0.5730, 0.5000, 0.1459)

Values from the calculation:
spin magnetization: 0.000 μB/atom


Verdict on stability: entry A comes out at the bottom.


Entry A
PrYCuRh after structural relaxation, computed with PBE.

abc: 3.8836 4.4515 5.6360
angles: 90.00 110.15 90.00
Fractional coordinates of all 4 atoms:
Cu (0.5726, 0.5000, 0.1452)
Pr (0.1428, 0.0000, 0.2855)
Y (0.8649, 0.5000, 0.7297)
Rh (0.4198, 0.0000, 0.8396)

Values from the calculation:
spin magnetization: 0.000 μB/atom


Entry B
PrYCuRh after structural relaxation, computed with PBE.

abc: 4.9960 4.9960 4.9960
angles: 60.00 60.00 60.00
Fractional coordinates of all 4 atoms:
Pr (0.0000, 0.0000, 0.0000)
Rh (0.7500, 0.7500, 0.7500)
Cu (0.2500, 0.2500, 0.2500)
Y (0.5000, 0.5000, 0.5000)

Values from the calculation:
spin magnetization: 0.000 μB/atom


Verdict on stability: entry B comes out at the bottom.


Entry A
PrSmCuRu after structural relaxation, computed with PBE.

abc: 3.9797 4.3386 5.7206
angles: 90.00 110.36 90.00
Fractional coordinates of all 4 atoms:
Sm (0.8628, 0.5000, 0.7256)
Cu (0.5694, 0.5000, 0.1387)
Pr (0.1436, 0.0000, 0.2871)
Ru (0.4243, 0.0000, 0.8485)

Values from the calculation:
spin magnetization: 0.000 μB/atom


Entry B
PrSmCuRu after structural relaxation, computed with PBE.

abc: 5.0054 5.0054 5.0054
angles: 60.00 60.00 60.00
Fractional coordinates of all 4 atoms:
Sm (0.0000, 0.0000, 0.0000)
Ru (0.2500, 0.2500, 0.2500)
Cu (0.7500, 0.7500, 0.7500)
Pr (0.5000, 0.5000, 0.5000)

Values from the calculation:
spin magnetization: 0.000 μB/atom


Verdict on stability: entry B comes out at the bottom.


Entry A
PrYCuRu after structural relaxation, computed with PBE.

abc: 4.9664 4.9664 4.9664
angles: 60.00 60.00 60.00
Fractional coordinates of all 4 atoms:
Cu (0.2500, 0.2500, 0.2500)
Ru (0.7500, 0.7500, 0.7500)
Y (0.5000, 0.5000, 0.5000)
Pr (0.0000, 0.0000, 0.0000)

Values from the calculation:
spin magnetization: 0.000 μB/atom


Entry B
PrYCuRu after structural relaxation, computed with PBE.

abc: 3.9974 4.2443 5.7138
angles: 90.00 110.48 90.00
Fractional coordinates of all 4 atoms:
Ru (0.4224, 0.0000, 0.8448)
Y (0.8630, 0.5000, 0.7260)
Cu (0.5686, 0.5000, 0.1373)
Pr (0.1459, 0.0000, 0.2919)

Values from the calculation:
spin magnetization: 0.000 μB/atom


Verdict on stability: entry A comes out at the bottom.


Entry A
Pr2CuS after structural relaxation, computed with PBE.

abc: 4.0222 4.0222 7.7153
angles: 74.89 74.89 60.00
Fractional coordinates of all 4 atoms:
S (0.6678, 0.6678, 0.9967)
Cu (0.4991, 0.4991, 0.5027)
Pr (0.0775, 0.0775, 0.7675)
Pr (0.2556, 0.2556, 0.2331)

Values from the calculation:
spin magnetization: 0.000 μB/atom


Entry B
Pr2CuS after structural relaxation, computed with PBE.

abc: 4.1100 4.1100 7.4309
angles: 73.95 73.95 60.00
Fractional coordinates of all 4 atoms:
Pr (0.2542, 0.2542, 0.2374)
Pr (0.7458, 0.7458, 0.7626)
S (0.0000, 0.0000, 0.0000)
Cu (0.5000, 0.5000, 0.5000)

Values from the calculation:
spin magnetization: 0.000 μB/atom


Entry C
Pr2CuS after structural relaxation, computed with PBE.

abc: 4.0989 4.0764 12.1294
angles: 99.67 90.00 90.00
Fractional coordinates of all 8 atoms:
S (0.7500, 0.8088, 0.6177)
S (0.2500, 0.1912, 0.3823)
Pr (0.2500, 0.0707, 0.1414)
Pr (0.7500, 0.9293, 0.8586)
Pr (0.2500, 0.3108, 0.6217)
Pr (0.7500, 0.6892, 0.3783)
Cu (0.7500, 0.5338, 0.0676)
Cu (0.2500, 0.4662, 0.9324)

Values from the calculation:
spin magnetization: 0.000 μB/atom


Verdict on stability: entry A comes out at the bottom.


Entry A
Pr2ScCu after structural relaxation, computed with PBE.

abc: 3.4200 3.4200 11.2327
angles: 81.24 81.24 60.00
Fractional coordinates of all 4 atoms:
Pr (0.9017, 0.9017, 0.2950)
Pr (0.0983, 0.0983, 0.7050)
Cu (0.5000, 0.5000, 0.5000)
Sc (0.0000, 0.0000, 0.0000)

Values from the calculation:
spin magnetization: 0.001 μB/atom


Entry B
Pr2ScCu after structural relaxation, computed with PBE.

abc: 3.6123 5.4268 5.4268
angles: 90.00 90.00 90.00
Fractional coordinates of all 4 atoms:
Sc (0.5000, 0.5000, 0.5000)
Pr (0.0000, 0.0000, 0.5000)
Pr (0.0000, 0.5000, 0.0000)
Cu (0.5000, 0.0000, 0.0000)

Values from the calculation:
spin magnetization: 0.000 μB/atom


Entry C
Pr2ScCu after structural relaxation, computed with PBE.

abc: 3.6509 3.6509 8.1327
angles: 90.00 90.00 90.00
Site moments in Bohr magnetons follow the coordinates.
Fractional coordinates of all 4 atoms:
Pr (0.0000, 0.0000, 0.2174)  0.03
Pr (0.0000, 0.0000, 0.7826)  0.03
Cu (0.5000, 0.5000, 0.0000)  0.01
Sc (0.5000, 0.5000, 0.5000)  0.13

Values from the calculation:
spin magnetization: 0.088 μB/atom


Verdict on stability: entry A comes out at the bottom.


Entry A
PrScCu after structural relaxation, computed with PBE.

abc: 3.4293 3.4293 6.5402
angles: 105.20 105.20 90.00
Fractional coordinates of all 3 atoms:
Cu (0.6899, 0.6899, 0.3798)
Pr (0.0145, 0.0145, 0.0290)
Sc (0.2956, 0.2956, 0.5911)

Values from the calculation:
spin magnetization: 0.000 μB/atom


Entry B
PrScCu after structural relaxation, computed with PBE.

abc: 3.8940 4.6547 4.6547
angles: 120.00 90.00 90.00
Fractional coordinates of all 3 atoms:
Sc (0.1668, 0.3333, 0.6667)
Cu (0.1664, 0.0000, 0.0000)
Pr (0.6668, 0.6667, 0.3333)

Values from the calculation:
spin magnetization: 0.000 μB/atom


Verdict on stability: entry B comes out at the bottom.